Here is a relaxed ZnS3O crystal from Alexandria. Energies are from PBE.

Properties
- E_form (uncorrected) (meV per atom) = 753
- magnetization (μB/f.u.) = 0.00

Cell lengths 4.2420, 4.2420, 4.2420 Å; angles 90.00, 90.00, 90.00 degrees
Element x y z (fractional)
Zn 0.5000 0.5000 0.5000
S 0.0000 0.5000 0.0000
S 0.0000 0.0000 0.5000
S 0.5000 0.0000 0.0000
O 0.0000 0.0000 0.0000